This record from Alexandria describes a geometry-optimized HgMoIr2 structure. The functional is PBE.

Lattice parameters (Å, degrees): 4.862 4.862 2.864 90.00 90.00 107.07
Positions (direct):
Ir: 0.500 0.500 0.000
Ir: 0.000 0.000 0.000
Mo: 0.500 0.000 0.500
Hg: 0.000 0.500 0.500

Output
calculated formation energy = 0.36 eV/atom
theoretical density = 17.478 g cm⁻³
total magnetic moment = 0.000 μB/f.u.